(1)
Density functional theory data (PBE) for a geometry-optimized ZrMnRh2 structure.

Geometry as CIF:
```
data_ZrMnRh2
_space_group_name_H-M_alt 'F m -3 m'
_space_group_IT_number 225
_space_group_name_Hall '-F 4 2 3'
_cell_length_a 6.370
_cell_length_b 6.370
_cell_length_c 6.370
_cell_angle_alpha 90.00
_cell_angle_beta 90.00
_cell_angle_gamma 90.00
loop_
_atom_site_label
_atom_site_type_symbol
_atom_site_fract_x
_atom_site_fract_y
_atom_site_fract_z
_atom_site_occupancy
Zr1 Zr 0.000 0.000 0.000 1
Mn1 Mn 0.000 0.000 0.500 1
Rh1 Rh 0.250 0.250 0.250 1
```

Properties
Volume   16.15 Å³/atom
Total DFT energy (no corrections)   -8.6764 eV per atom
Crystal system   cubic

(2)
Density functional theory data (PBE) for a geometry-optimized AlSiRu2 structure.

Geometry as CIF:
```
data_AlSiRu2
_space_group_name_H-M_alt 'P 4 m m'
_space_group_IT_number 99
_space_group_name_Hall 'P 4 -2'
_cell_length_a 2.771
_cell_length_b 2.771
_cell_length_c 7.454
_cell_angle_alpha 90.00
_cell_angle_beta 90.00
_cell_angle_gamma 90.00
loop_
_atom_site_label
_atom_site_type_symbol
_atom_site_fract_x
_atom_site_fract_y
_atom_site_fract_z
_atom_site_occupancy
Al1 Al 0.000 0.000 0.000 1
Si1 Si 0.500 0.500 0.703 1
Ru1 Ru 0.000 0.000 0.485 1
Ru2 Ru 0.500 0.500 0.242 1
```

Properties
Formation energy without anion corrections   -0.122 eV per atom
Volume   14.31 Å³/atom
Total DFT energy (no corrections)   -7.0517 eV per atom
Crystal system   tetragonal
Energy above the most stable polymorph in this dataset   593 meV per atom